Entry 1:
This record from Alexandria via LeMat-Bulk describes crystalline TmPb2F6 at its relaxed geometry. The functional is PBE.

Fermi-level density of states = 3.536 states/eV per cell
Energy relative to the elements, uncorrected = -2.84 eV per atom

Cell and atoms, written as extended XYZ:
```
18
Lattice="5.8266 0.0000 0.0000 0.0000 5.8266 0.0000 0.0000 0.0000 11.0295" Properties=species:S:1:pos:R:3 pbc="T T T"
Tm 0.0000 0.0000 0.0000
Tm 2.9133 2.9133 5.5147
Pb 0.0000 0.0000 3.8941
Pb 0.0000 0.0000 7.1354
Pb 2.9133 2.9133 1.6207
Pb 2.9133 2.9133 9.4088
F 1.1132 1.1132 1.5112
F 1.1132 1.1132 9.5183
F 1.4152 1.4152 5.5147
F 1.4981 4.3285 0.0000
F 1.8002 4.0265 4.0035
F 1.8002 4.0265 7.0259
F 4.0265 1.8002 4.0035
F 4.0265 1.8002 7.0259
F 4.3285 1.4981 0.0000
F 4.4114 4.4114 5.5147
F 4.7135 4.7135 1.5112
F 4.7135 4.7135 9.5183
```

---

Entry 2:
This record from Alexandria via LeMat-Bulk describes crystalline TmPbF at its relaxed geometry. The functional is PBE.

Fermi-level density of states = 7.864 states/eV per cell
Energy relative to the elements, uncorrected = -1.64 eV per atom
Energy above the lowest structure with this stoichiometry = 212.9 meV per atom

Cell and atoms, written as extended XYZ:
```
12
Lattice="8.9554 0.0000 0.0000 0.0000 8.9554 0.0000 0.0000 0.0000 5.9077" Properties=species:S:1:pos:R:3 pbc="T T T"
Tm 0.0000 2.7631 0.0000
Tm 0.0000 6.1923 0.0000
Tm 2.7631 0.0000 2.9539
Tm 6.1923 0.0000 2.9539
Pb 0.0000 1.6104 2.9539
Pb 0.0000 7.3450 2.9539
Pb 1.6104 0.0000 0.0000
Pb 7.3450 0.0000 0.0000
F 1.2976 4.4777 0.0000
F 4.4777 1.2976 2.9539
F 4.4777 7.6578 2.9539
F 7.6578 4.4777 0.0000
```

---

Entry 3:
This record from Alexandria via LeMat-Bulk describes crystalline TmPbF4 at its relaxed geometry. The functional is PBE.

Fermi-level density of states = 1.460 states/eV per cell
Energy relative to the elements, uncorrected = -3.14 eV per atom

Cell and atoms, written as extended XYZ:
```
12
Lattice="3.9956 -4.4983 0.0000 3.9956 4.4983 0.0000 -3.3458 0.0000 5.1030" Properties=species:S:1:pos:R:3 pbc="T T T"
Tm 1.4862 3.3164 3.8273
Tm 3.1591 -3.3164 1.2758
Pb 3.1591 0.6343 1.2758
Pb 1.4862 -0.6343 3.8273
F 0.9627 0.7514 0.0266
F 0.0961 1.5740 3.4707
F -0.7102 -0.7514 2.5781
F 1.7690 -1.5740 0.9192
F 2.8764 1.5740 4.1838
F 5.3556 0.7514 2.5249
F 4.5493 -1.5740 1.6323
F 3.6827 -0.7514 5.0764
```

---

Entry 4:
This record from Alexandria via LeMat-Bulk describes crystalline Tm2PbF at its relaxed geometry. The functional is PBE.

Fermi-level density of states = 3.636 states/eV per cell
Energy relative to the elements, uncorrected = -1.34 eV per atom

Cell and atoms, written as extended XYZ:
```
4
Lattice="2.3744 1.3708 6.9010 -2.3744 1.3708 6.9010 0.0000 -2.7417 6.9010" Properties=species:S:1:pos:R:3 pbc="T T T"
Tm 0.0000 0.0000 2.1304
Tm 0.0000 0.0000 18.5728
Pb 0.0000 0.0000 10.3516
F 0.0000 0.0000 0.0000
```

---

Number 1: calculated total energy -5.41 eV/atom. Number 2: calculated total energy -4.99 eV/atom. Number 3: calculated total energy -5.75 eV/atom. Number 4: calculated total energy -4.97 eV/atom.